NaSr2CrF8 PBEsol optimized geometry; symmetry = P2_1/c (14); total moment = 3.0 μB per formula unit; formation energy without anion corrections = -3342 meV per atom
1.0
-4.101 3.516 -3.114
-5.818 -3.898 3.262
1.390 9.989 9.449
F Sr Cr Na
32 8 4 4
direct
0.485 0.143 0.890
0.620 0.499 0.323
0.736 0.314 0.784
0.069 0.276 0.918
0.985 0.357 0.610
0.316 0.575 0.028
0.515 0.857 0.110
0.940 0.359 0.174
0.440 0.141 0.326
0.120 0.001 0.177
0.015 0.643 0.390
0.569 0.224 0.582
0.236 0.186 0.716
0.558 0.699 0.844
0.697 0.598 0.516
0.264 0.686 0.216
0.816 0.925 0.472
0.880 0.999 0.823
0.442 0.301 0.156
0.942 0.199 0.344
0.803 0.098 0.016
0.184 0.075 0.528
0.060 0.641 0.826
0.431 0.776 0.418
0.380 0.501 0.677
0.684 0.425 0.972
0.764 0.814 0.284
0.560 0.859 0.674
0.197 0.902 0.984
0.931 0.724 0.082
0.058 0.801 0.656
0.303 0.402 0.484
0.218 0.400 0.302
0.348 0.440 0.855
0.152 0.940 0.355
0.282 0.900 0.802
0.848 0.060 0.645
0.652 0.560 0.145
0.782 0.600 0.698
0.718 0.100 0.198
0.279 0.290 0.597
0.721 0.710 0.403
0.221 0.790 0.097
0.779 0.210 0.903
0.669 0.302 0.441
0.831 0.802 0.941
0.169 0.198 0.059
0.331 0.698 0.559

=====

CoOs2 PBEsol optimized geometry; symmetry = C2/m (12); energy relative to the lowest polymorph listed for this composition = 0 meV/atom; total moment = 0.7 μB per formula unit; formation enthalpy at 0 K = 0.0850 eV per atom
1.0
-0.905 2.351 -0.955
-1.770 -0.363 4.583
5.615 2.475 0.772
Os Co
4 2
direct
0.311 0.621 0.866
0.689 0.379 0.134
0.362 0.724 0.467
0.638 0.276 0.533
0.971 0.942 0.192
0.029 0.058 0.808

=====

CoBr2Cl PBEsol optimized geometry; symmetry = R-3m (166); energy relative to the lowest polymorph listed for this composition = 0 meV/atom; total moment = 0.0 μB per formula unit; formation energy without anion corrections = -132 meV per atom
1.0
3.529 0.000 0.000
1.764 3.056 0.000
1.764 1.019 7.039
Co Br Cl
1 2 1
direct
0.500 0.500 0.500
0.227 0.227 0.318
0.773 0.773 0.682
0.000 0.000 0.000

=====

CaIr3Se PBEsol optimized geometry; symmetry = Pm-3m (221); total moment = 2.4 μB per formula unit; formation energy without anion corrections = 2607 meV per atom
1.0
4.720 0.000 0.000
0.000 4.720 0.000
0.000 0.000 4.720
Ir Se Ca
3 1 1
direct
0.500 0.000 0.000
0.000 0.500 0.000
0.000 0.000 0.500
0.500 0.500 0.500
0.000 0.000 0.000

=====

FeCo3 PBEsol optimized geometry; symmetry = P2/m (10); total moment = 7.7 μB per formula unit; formation enthalpy at 0 K = 0.0655 eV per atom
1.0
-2.236 -1.258 2.960
2.154 -4.070 -0.102
2.812 2.353 3.124
Fe Co
2 6
direct
0.500 0.250 0.628
0.500 0.750 0.372
0.500 0.253 0.128
0.000 0.004 0.753
0.000 0.996 0.247
0.000 0.500 0.000
0.500 0.747 0.872
0.000 0.500 0.500

=====

YCoTc2Cl PBEsol optimized geometry; symmetry = P4/mmm (123); total moment = 1.6 μB per formula unit; formation energy without anion corrections = 855 meV per atom
1.0
4.278 0.000 0.000
0.000 4.278 0.000
0.000 0.000 4.853
Tc Cl Co Y
2 1 1 1
direct
0.000 0.500 0.000
0.500 0.000 0.000
0.000 0.000 0.000
0.500 0.500 0.500
0.000 0.000 0.500

=====

AlW2Au PBEsol optimized geometry; symmetry = P4/mmm (123); total moment = 0.0 μB per formula unit; formation enthalpy at 0 K = 0.2134 eV per atom
1.0
2.724 0.000 0.000
0.000 2.724 0.000
0.000 0.000 8.366
Al W Au
1 2 1
direct
0.500 0.500 0.000
0.000 0.000 0.241
0.000 0.000 0.759
0.500 0.500 0.500

=====

RbRe3Pt PBEsol optimized geometry; symmetry = Pm-3m (221); total moment = 0.0 μB per formula unit; formation enthalpy at 0 K = 4.0884 eV per atom
1.0
-2.534 -2.072 -3.149
3.319 -3.026 -0.680
-1.787 -2.680 3.202
Re Rb Pt
3 1 1
direct
0.500 0.000 0.000
0.000 0.500 0.000
0.000 0.000 0.500
0.000 0.000 0.000
0.500 0.500 0.500

=====

AgHg2Ru PBEsol optimized geometry; symmetry = R3m (160); energy relative to the lowest polymorph listed for this composition = 74 meV/atom; total moment = 0.9 μB per formula unit; formation enthalpy at 0 K = 0.4269 eV per atom
1.0
2.909 0.000 0.000
1.455 2.519 0.000
1.455 0.840 9.707
Ru Ag Hg
1 1 2
direct
0.502 0.502 0.493
0.245 0.245 0.265
0.996 0.996 0.012
0.757 0.757 0.729

=====

MnAgRh2 PBEsol optimized geometry; symmetry = Fm-3m (225); energy relative to the lowest polymorph listed for this composition = 154 meV/atom; total moment = 2.9 μB per formula unit; formation enthalpy at 0 K = 0.2521 eV per atom
1.0
4.302 0.000 0.000
2.151 3.726 0.000
2.151 1.242 3.513
Rh Mn Ag
2 1 1
direct
0.250 0.250 0.250
0.750 0.750 0.750
0.500 0.500 0.500
0.000 0.000 0.000

=====

KSrFe PBEsol optimized geometry; symmetry = F-43m (216); energy relative to the lowest polymorph listed for this composition = 229 meV/atom; total moment = 2.8 μB per formula unit; formation enthalpy at 0 K = 1.1004 eV per atom
1.0
5.471 0.000 0.000
2.736 4.738 0.000
2.736 1.579 4.467
Sr Fe K
1 1 1
direct
0.500 0.500 0.500
0.250 0.250 0.250
0.000 0.000 0.000

=====

Li6CaCeO6 PBEsol optimized geometry; symmetry = P-31c (163); total moment = 0.0 μB per formula unit; formation energy without anion corrections = -2331 meV per atom
1.0
-1.863 5.075 2.060
-1.693 -1.796 -5.233
-8.366 -4.843 4.370
Ca Li O Ce
2 12 12 2
direct
0.000 0.000 0.750
0.000 0.000 0.250
0.690 0.059 0.565
0.690 0.631 0.935
0.310 0.369 0.065
0.631 0.690 0.435
0.369 0.059 0.935
0.941 0.310 0.935
0.631 0.941 0.065
0.059 0.690 0.065
0.310 0.941 0.435
0.369 0.310 0.565
0.059 0.369 0.435
0.941 0.631 0.565
0.346 0.043 0.119
0.043 0.346 0.619
0.303 0.957 0.619
0.043 0.697 0.881
0.697 0.043 0.381
0.697 0.654 0.119
0.346 0.303 0.381
0.957 0.303 0.119
0.654 0.957 0.881
0.654 0.697 0.619
0.303 0.346 0.881
0.957 0.654 0.381
0.667 0.333 0.250
0.333 0.667 0.750

=====

La2Rh2Cl PBEsol optimized geometry; symmetry = I4/mmm (139); total moment = 0.0 μB per formula unit; formation energy without anion corrections = -738 meV per atom
1.0
-3.654 -0.816 3.834
1.496 -4.176 -3.208
3.022 -3.926 2.043
Cl Rh La
1 2 2
direct
0.000 0.000 0.000
0.338 0.675 0.662
0.662 0.325 0.338
0.250 0.500 0.250
0.750 0.500 0.750

=====

Si2Te PBEsol optimized geometry; symmetry = C2/m (12); energy relative to the lowest polymorph listed for this composition = 181 meV/atom; total moment = 0.0 μB per formula unit; formation energy without anion corrections = 215 meV per atom
1.0
-3.208 0.488 -2.122
-1.272 -3.897 4.568
-0.679 5.978 2.402
Si Te
4 2
direct
0.803 0.606 0.596
0.197 0.394 0.404
0.271 0.541 0.106
0.729 0.459 0.894
0.493 0.985 0.743
0.507 0.015 0.257

=====

CuAuCl PBEsol optimized geometry; symmetry = F-43m (216); energy relative to the lowest polymorph listed for this composition = 608 meV/atom; total moment = 0.0 μB per formula unit; formation energy without anion corrections = 592 meV per atom
1.0
4.279 0.000 0.000
2.140 3.706 0.000
2.140 1.235 3.494
Cu Au Cl
1 1 1
direct
0.000 0.000 0.000
0.500 0.500 0.500
0.250 0.250 0.250

=====

TaBeCr PBEsol optimized geometry; symmetry = P3m1 (156); energy relative to the lowest polymorph listed for this composition = 383 meV/atom; total moment = 0.0 μB per formula unit; formation enthalpy at 0 K = 0.5062 eV per atom
1.0
2.688 0.000 0.000
-1.344 2.328 0.000
0.000 0.000 6.353
Cr Be Ta
1 1 1
direct
0.333 0.667 0.692
0.000 0.000 0.983
0.667 0.333 0.325

=====

InCuO3 PBEsol optimized geometry; symmetry = R3m (160); total moment = 0.0 μB per formula unit; formation energy without anion corrections = -985 meV per atom
1.0
3.395 0.000 0.000
1.698 2.941 0.000
1.698 0.980 5.641
O In Cu
3 1 1
direct
0.657 0.657 0.028
0.888 0.888 0.336
0.106 0.106 0.681
0.502 0.502 0.495
0.997 0.997 0.009

=====

TlF PBEsol optimized geometry; symmetry = Pbcm (57); energy relative to the lowest polymorph listed for this composition = 0 meV/atom; total moment = 0.0 μB per formula unit; formation energy without anion corrections = -1677 meV per atom
1.0
5.058 0.000 0.000
0.000 5.410 0.000
0.000 0.000 6.011
Tl F
4 4
direct
0.750 0.512 0.261
0.250 0.488 0.739
0.250 0.988 0.261
0.750 0.012 0.739
0.750 0.066 0.143
0.250 0.434 0.143
0.750 0.566 0.857
0.250 0.934 0.857

=====

Y2O3 PBEsol optimized geometry; symmetry = P2_1/m (11); total moment = 0.0 μB per formula unit; formation energy without anion corrections = -3598 meV per atom
1.0
3.450 0.000 0.000
0.000 8.487 -0.001
0.000 -2.159 14.046
Y O
12 18
direct
0.250 0.818 0.285
0.750 0.821 0.780
0.250 0.506 0.608
0.750 0.182 0.715
0.750 0.494 0.392
0.750 0.183 0.008
0.750 0.132 0.437
0.750 0.545 0.116
0.250 0.455 0.884
0.250 0.817 0.992
0.250 0.868 0.563
0.250 0.179 0.220
0.250 0.346 0.717
0.250 0.380 0.032
0.750 0.032 0.573
0.250 0.718 0.130
0.750 0.937 0.929
0.750 0.320 0.186
0.250 0.968 0.427
0.750 0.620 0.968
0.750 0.374 0.536
0.250 0.063 0.071
0.750 0.013 0.271
0.250 0.626 0.464
0.250 0.680 0.814
0.250 0.298 0.372
0.750 0.282 0.870
0.250 0.987 0.729
0.750 0.702 0.628
0.750 0.654 0.283

=====

Hf3BeB PBEsol optimized geometry; symmetry = Pm-3m (221); total moment = 0.0 μB per formula unit; formation enthalpy at 0 K = 0.0180 eV per atom
1.0
-2.260 -0.998 -3.725
2.181 -3.891 -0.280
-3.180 -1.959 2.454
Hf Be B
3 1 1
direct
0.000 0.500 0.000
0.000 0.000 0.500
0.500 0.000 0.000
0.500 0.500 0.500
0.000 0.000 0.000

=====

BeSi2Cl PBEsol optimized geometry; symmetry = P4/mmm (123); energy relative to the lowest polymorph listed for this composition = 141 meV/atom; total moment = 0.0 μB per formula unit; formation energy without anion corrections = 562 meV per atom
1.0
-0.282 -0.368 2.704
4.605 -0.397 0.426
0.334 4.583 0.658
Cl Si Be
1 2 1
direct
0.500 0.000 0.000
0.000 0.000 0.500
0.000 0.500 0.000
0.500 0.500 0.500

=====

Cr2ReTe PBEsol optimized geometry; symmetry = P4/mmm (123); total moment = 0.0 μB per formula unit; formation energy without anion corrections = 522 meV per atom
1.0
3.057 0.000 0.000
0.000 4.301 0.000
0.000 0.000 4.301
Re Te Cr
1 1 2
direct
0.500 0.500 0.500
0.500 0.000 0.000
0.000 0.000 0.500
0.000 0.500 0.000

=====

TlAg2Pb PBEsol optimized geometry; symmetry = P4/mmm (123); energy relative to the lowest polymorph listed for this composition = 60 meV/atom; total moment = 0.0 μB per formula unit; formation enthalpy at 0 K = 0.1454 eV per atom
1.0
-3.469 1.534 -1.252
-1.962 -4.261 0.218
-1.252 0.804 4.454
Ag Pb Tl
2 1 1
direct
0.000 0.000 0.500
0.000 0.500 0.000
0.500 0.500 0.500
0.500 0.000 0.000

=====

Be2FeCo PBEsol optimized geometry; symmetry = P4/mmm (123); total moment = 2.0 μB per formula unit; formation enthalpy at 0 K = -0.2204 eV per atom
1.0
2.568 0.000 0.000
0.000 3.668 0.000
0.000 0.000 3.668
Be Fe Co
2 1 1
direct
0.000 0.500 0.000
0.000 0.000 0.500
0.500 0.000 0.000
0.500 0.500 0.500